Record 1
Compound: Nd8Al2Tl
Source: the Alexandria database
Functional: GGA-PBE
Structure: optimized geometry

a = 17.5519 Å, b = 5.0336 Å, c = 8.1275 Å
α = 90.00°, β = 110.31°, γ = 90.00°
Last column: nearest neighbours and their distance in Å.
Space group C2/m (No. 12)
One atom of each set of equivalent atoms:
Nd 0.0490 0.0000 0.2353 (multiplicity 4)  1 Al 3.16, 2 Nd 3.39
Nd 0.1021 0.5000 0.9544 (multiplicity 4)  3 Al 3.29-3.65, 4 Nd 3.44-3.59, 1 Tl 3.50
Nd 0.1657 0.0000 0.7445 (multiplicity 4)  3 Al 3.19-3.21, 2 Nd 3.44
Nd 0.1764 0.5000 0.4401 (multiplicity 4)  1 Al 3.12, 1 Tl 3.30, 4 Nd 3.39-3.49
Al 0.2150 0.0000 0.1637 (multiplicity 4)  7 Nd 3.12-3.29
Tl 0.0000 0.5000 0.5000 (multiplicity 2)  8 Nd 3.30-3.60

energy of formation = -0.1779 eV per atom


Record 2
Compound: La3NdEr4
Source: the Alexandria database
Functional: GGA-PBE
Structure: optimized geometry

a = 11.6267 Å, b = 7.3237 Å, c = 6.3404 Å
α = 90.00°, β = 90.00°, γ = 90.00°
Last column: nearest neighbours and their distance in Å.
Space group Pmn2_1 (No. 31)
One atom of each set of equivalent atoms:
La 0.0000 0.1283 0.0000 (multiplicity 2)  4 La 3.58-3.62, 6 Er 3.61-3.72, 2 Nd 3.69-3.71
La 0.2488 0.1264 0.3333 (multiplicity 4)  4 La 3.58-3.67, 2 Nd 3.60-3.62, 6 Er 3.60-3.72
Nd 0.0000 0.8683 0.5019 (multiplicity 2)  6 Er 3.57-3.76, 6 La 3.60-3.71
Er 0.0000 0.3812 0.5017 (multiplicity 2)  6 Er 3.55-3.63, 2 Nd 3.57-3.76, 4 La 3.60-3.68
Er 0.0000 0.6206 0.0038 (multiplicity 2)  6 Er 3.57-3.63, 4 La 3.61-3.72, 2 Nd 3.64-3.66
Er 0.2504 0.3811 0.8332 (multiplicity 4)  6 Er 3.55-3.62, 1 Nd 3.59, 5 La 3.61-3.72

energy of formation = 0.0337 eV per atom


Record 3
Compound: TbPrSi
Source: the Alexandria database
Functional: GGA-PBE
Structure: optimized geometry

a = 11.6740 Å, b = 4.2874 Å, c = 8.3190 Å
α = 90.00°, β = 127.22°, γ = 90.00°
Last column: nearest neighbours and their distance in Å.
Space group C2/m (No. 12)
One atom of each set of equivalent atoms:
Tb 0.1780 0.0000 0.0757 (multiplicity 4)  3 Si 2.95-3.10
Pr 0.0851 0.5000 0.3590 (multiplicity 4)  4 Si 3.13-3.15
Si 0.1204 0.0000 0.6603 (multiplicity 4)  1 Si 2.44

raw formation energy = -1.48 eV/f.u.


Record 4
Compound: Ca2TaInO6
Source: the Alexandria database
Functional: GGA-PBE
Structure: optimized geometry

a = 5.7346 Å, b = 5.7346 Å, c = 4.3192 Å
α = 90.00°, β = 90.00°, γ = 90.00°
Last column: nearest neighbours and their distance in Å.
Space group P4mm (No. 99)
One atom of each set of equivalent atoms:
Ca 0.0000 0.5000 0.0000 (multiplicity 2)  4 O 2.43
Ta 0.0000 0.0000 0.5964 (multiplicity 1)  5 O 1.87-1.96
In 0.5000 0.5000 0.6151 (multiplicity 1)  6 O 2.07-2.25
O 0.0000 0.0000 0.1644 (multiplicity 1)  1 Ta 1.87
O 0.2366 0.2366 0.6927 (multiplicity 4)  1 Ta 1.96, 1 In 2.16
O 0.5000 0.5000 0.1350 (multiplicity 1)  2 In 2.07-2.25

raw formation energy = -25.58 eV/f.u.